Record 1
Computed, not measured: a geometry-optimized ErMgRh structure at the PBE-GGA level of DFT.

abc: 3.3155 3.3155 11.3349
angles: 90.00 90.00 90.00
With the nearest neighbours (Å) after each atom.
Sites, in units of the cell vectors:
Er1 0.0000 0.0000 0.0000  4 Rh 2.85, 1 Mg 3.13
Er2 0.5000 0.5000 0.5000  4 Rh 2.85, 1 Mg 3.13
Mg1 0.0000 0.0000 0.7240  4 Rh 2.79
Mg2 0.5000 0.5000 0.2240  4 Rh 2.79
Rh1 0.0000 0.0000 0.3577  4 Mg 2.79, 4 Er 2.85
Rh2 0.5000 0.5000 0.8577  4 Mg 2.79, 4 Er 2.85

Properties
Its uncorrected energy is -5.051 eV per atom. As for the density of states at the Fermi level: 0.4705 states/eV per atom. The energy of formation comes out at -0.548 eV/atom.

=====

Record 2
Computed, not measured: a geometry-optimized Mn2ReCl structure at the PBE-GGA level of DFT.

abc: 2.9544 2.9044 7.2109
angles: 90.00 90.04 90.00
With the nearest neighbours (Å) after each atom.
Sites, in units of the cell vectors:
Mn1 0.0000 0.0000 0.0000  2 Cl 2.57, 4 Mn 2.64
Mn2 0.4988 0.5000 0.7733  4 Re 2.45, 4 Mn 2.64
Re1 0.9983 0.0000 0.5915  4 Mn 2.45, 2 Cl 2.59
Cl1 0.9961 0.5000 0.2945  2 Mn 2.57, 2 Re 2.59

Properties
Its uncorrected energy is -7.924 eV per atom. As for the density of states at the Fermi level: 0.6853 states/eV per atom. Its formation energy from raw total energies is 0.9 eV/f.u.

=====

Record 3
Computed, not measured: a geometry-optimized SrGa2Bi structure at the PBE-GGA level of DFT.

abc: 4.7025 4.3956 10.7537
angles: 90.00 95.70 90.00
With the nearest neighbours (Å) after each atom.
Sites, in units of the cell vectors:
Sr1 0.1933 0.2500 0.2415  8 Ga 3.44-3.72, 5 Bi 3.54-3.80
Sr2 0.8067 0.7500 0.7585  8 Ga 3.44-3.72, 5 Bi 3.54-3.80
Ga1 0.2648 0.2500 0.6347  4 Ga 2.65-2.74, 1 Bi 2.86
Ga2 0.2664 0.7500 0.4965  4 Ga 2.65-2.74
Ga3 0.7336 0.2500 0.5035  4 Ga 2.65-2.74
Ga4 0.7352 0.7500 0.3653  4 Ga 2.65-2.74, 1 Bi 2.86
Bi1 0.3463 0.2500 0.9015  1 Ga 2.86
Bi2 0.6537 0.7500 0.0985  1 Ga 2.86

Properties
Its uncorrected energy is -3.322 eV per atom. As for the density of states at the Fermi level: 0.5668 states/eV per atom. The energy of formation comes out at -0.418 eV/atom.

=====

Record 4
Computed, not measured: a geometry-optimized Ba3Ge2Pd2 structure at the PBE-GGA level of DFT.

abc: 4.5982 4.9725 18.6915
angles: 90.00 90.00 90.00
With the nearest neighbours (Å) after each atom.
Sites, in units of the cell vectors:
Ba1 0.0000 0.0000 0.0000  4 Pd 3.46, 8 Ge 3.62
Ba2 0.0000 0.5000 0.3141  2 Ge 3.31, 5 Pd 3.46-3.55
Ba3 0.0000 0.5000 0.6859  2 Ge 3.31, 5 Pd 3.46-3.55
Ba4 0.5000 0.0000 0.1859  2 Ge 3.31, 5 Pd 3.46-3.55
Ba5 0.5000 0.0000 0.8141  2 Ge 3.31, 5 Pd 3.46-3.55
Ba6 0.5000 0.5000 0.5000  4 Pd 3.46, 8 Ge 3.62
Ge1 0.0000 0.0000 0.4310  2 Pd 2.56, 1 Ge 2.58
Ge2 0.0000 0.0000 0.5690  2 Pd 2.56, 1 Ge 2.58
Ge3 0.5000 0.5000 0.0690  2 Pd 2.56, 1 Ge 2.58
Ge4 0.5000 0.5000 0.9310  2 Pd 2.56, 1 Ge 2.58
Pd1 0.0000 0.5000 0.1289  2 Ge 2.56
Pd2 0.0000 0.5000 0.8711  2 Ge 2.56
Pd3 0.5000 0.0000 0.3711  2 Ge 2.56
Pd4 0.5000 0.0000 0.6289  2 Ge 2.56

Properties
Its uncorrected energy is -4.214 eV per atom. As for the density of states at the Fermi level: 0.4810 states/eV per atom. The energy of formation comes out at -0.587 eV/atom.

=====

Record 5
Computed, not measured: a geometry-optimized LiInTcIr structure at the PBE-GGA level of DFT.

abc: 6.2594 6.2594 6.2594
angles: 90.00 90.00 90.00
With the nearest neighbours (Å) after each atom.
Sites, in units of the cell vectors:
Li1 0.0000 0.0000 0.0000  4 In 2.71, 4 Tc 2.71
Li2 0.0000 0.5000 0.5000  4 Tc 2.71, 4 In 2.71
Li3 0.5000 0.0000 0.5000  4 Tc 2.71, 4 In 2.71
Li4 0.5000 0.5000 0.0000  4 In 2.71, 4 Tc 2.71
In1 0.2500 0.2500 0.2500  4 Li 2.71, 4 Ir 2.71
In2 0.2500 0.7500 0.7500  4 Li 2.71, 4 Ir 2.71
In3 0.7500 0.2500 0.7500  4 Li 2.71, 4 Ir 2.71
In4 0.7500 0.7500 0.2500  4 Li 2.71, 4 Ir 2.71
Tc1 0.2500 0.2500 0.7500  4 Li 2.71, 4 Ir 2.71
Tc2 0.2500 0.7500 0.2500  4 Li 2.71, 4 Ir 2.71
Tc3 0.7500 0.2500 0.2500  4 Li 2.71, 4 Ir 2.71
Tc4 0.7500 0.7500 0.7500  4 Li 2.71, 4 Ir 2.71
Ir1 0.0000 0.0000 0.5000  4 In 2.71, 4 Tc 2.71
Ir2 0.0000 0.5000 0.0000  4 In 2.71, 4 Tc 2.71
Ir3 0.5000 0.0000 0.0000  4 In 2.71, 4 Tc 2.71
Ir4 0.5000 0.5000 0.5000  4 In 2.71, 4 Tc 2.71

Properties
Its uncorrected energy is -5.960 eV per atom. As for the density of states at the Fermi level: 0.9876 states/eV per atom. The energy of formation comes out at 0.010 eV/atom.

=====

Record 6
Computed, not measured: a geometry-optimized PmEr2Zr3N6 structure at the PBE-GGA level of DFT.

abc: 5.8049 5.8049 5.8613
angles: 99.54 99.54 119.93
With the nearest neighbours (Å) after each atom.
Sites, in units of the cell vectors:
Pm1 0.0000 0.0000 0.0000  6 N 2.48-2.49
Er1 0.3331 0.6669 0.0000  6 N 2.41-2.42
Er2 0.6669 0.3331 0.0000  6 N 2.41-2.42
Zr1 0.1681 0.8319 0.5000  6 N 2.27-2.35
Zr2 0.5000 0.5000 0.5000  6 N 2.28-2.34
Zr3 0.8319 0.1681 0.5000  6 N 2.27-2.35
N1 0.0893 0.4321 0.2681  3 Zr 2.27-2.35, 2 Er 2.41-2.42, 1 Pm 2.48
N2 0.2529 0.2529 0.7310  3 Zr 2.28-2.35, 2 Er 2.42, 1 Pm 2.49
N3 0.4321 0.0893 0.2681  3 Zr 2.27-2.35, 2 Er 2.41-2.42, 1 Pm 2.48
N4 0.5679 0.9107 0.7319  3 Zr 2.27-2.35, 2 Er 2.41-2.42, 1 Pm 2.48
N5 0.7471 0.7471 0.2690  3 Zr 2.28-2.35, 2 Er 2.42, 1 Pm 2.49
N6 0.9107 0.5679 0.7319  3 Zr 2.27-2.35, 2 Er 2.41-2.42, 1 Pm 2.48

Properties
Its uncorrected energy is -9.154 eV per atom. As for the density of states at the Fermi level: 0.2576 states/eV per atom. Its formation energy from raw total energies is -20.4 eV/f.u.